{"formula": "KVTe2As", "functional": "PBE-GGA", "state": "relaxed", "formation_energy_uncorrected_ev_per_atom": 0.98, "total_energy_ev_per_fu": -16.27, "volume_a3_per_atom": 34.62, "space_group": "P4/mmm, No. 123", "n_ef_per_ev_cell": 10.55, "magmom_total_mub_per_fu": 0.274, "lattice": [[-0.4247, 5.1432, 2.1284], [0.3548, -2.0943, 5.1318], [5.5548, 0.5284, -0.1684]], "species": ["As", "K", "V", "Te", "Te"], "fractional_positions": [[0.0000, 0.0000, 0.0000], [0.0000, 0.5000, 0.0000], [0.5000, 0.5000, 0.5000], [0.0000, 0.0000, 0.5000], [0.5000, 0.0000, 0.0000]]}